# TaCdP2

A geometry-optimized TaCdP2 structure (PBE, the Alexandria database).

The structure belongs to space group F-43m (No. 216); the cell edges are 6.5124, 6.5124 and 6.5124 Å and the angles 90.00°, 90.00° and 90.00°. Symmetry generates all atoms from Ta at (0.0000, 0.0000, 0.0000), Cd at (0.2500, 0.2500, 0.7500), P at (0.0000, 0.0000, 0.5000) and P at (0.2500, 0.2500, 0.2500).

The magnetization is 0.00 Bohr magnetons per cell. The calculation puts the calculated formation energy at 0.717 eV per atom. The final energy comes out at -5.18 eV/atom.

***

# CaMg

A geometry-optimized CaMg structure (PBE, the Alexandria database).

The structure belongs to space group P6_3/mmc (No. 194); the cell edges are 5.3451, 5.3451 and 10.7499 Å and the angles 90.00°, 90.00° and 120.00°. Symmetry generates all atoms from Ca at (0.3333, 0.6667, 0.0881), Mg at (0.0000, 0.0000, 0.2500) and Mg at (0.3333, 0.6667, 0.7500).

The magnetization is 0.00 Bohr magnetons per cell. The calculation puts the calculated formation energy at 0.036 eV per atom. The final energy comes out at -1.76 eV/atom.

***

# CrNi2Pt9

A geometry-optimized CrNi2Pt9 structure (PBE, the Alexandria database).

The structure belongs to space group P4/mmm (No. 123); the cell edges are 3.8947, 3.8947 and 11.6908 Å and the angles 90.00°, 90.00° and 90.00°. Symmetry generates all atoms from Cr at (0.0000, 0.0000, 0.0000), Ni at (0.0000, 0.0000, 0.3371), Pt at (0.0000, 0.5000, 0.1669), Pt at (0.0000, 0.5000, 0.5000), Pt at (0.5000, 0.5000, 0.0000) and Pt at (0.5000, 0.5000, 0.3337).

The magnetization is 4.91 Bohr magnetons per cell. The calculation puts the calculated formation energy at -0.135 eV per atom. The final energy comes out at -6.43 eV/atom.

***

# CaFeAs2

A geometry-optimized CaFeAs2 structure (PBE, the Alexandria database).

The structure belongs to space group Pmm2 (No. 25); the cell edges are 4.1113, 4.5952 and 4.5785 Å and the angles 90.00°, 90.00° and 90.00°. Symmetry generates all atoms from Ca at (0.0000, 0.0000, 0.0000), Fe at (0.5000, 0.5000, 0.6785), As at (0.5000, 0.0000, 0.5068) and As at (0.5000, 0.5000, 0.1667).

The magnetization is 1.84 Bohr magnetons per cell. The calculation puts the calculated formation energy at -0.311 eV per atom. The energy relative to the lowest polymorph listed for this composition comes out at 158 meV/atom. The final energy comes out at -5.25 eV/atom.

***

- Which of these has the highest magnetization?
  CrNi2Pt9